An optimized crystal structure of AcTbCe, computed with GGA-PBE.

## Properties
As for the energy above the lowest structure with this stoichiometry: 35 meV/atom. The calculation puts the total energy at -56.8 eV per cell. Its space-group type is Pnma (62). As for the formation energy: 0.157 eV per atom.

Unit cell a=12.2786 b=5.7099 c=6.0647 alpha=90.00 beta=90.00 gamma=90.00
Fractional coordinates of all 12 atoms:
1 Ac 0.2505 0.2500 0.0138
2 Ac 0.2495 0.7500 0.5138
3 Ac 0.7505 0.2500 0.4862
4 Ac 0.7495 0.7500 0.9862
5 Tb 0.0693 0.2500 0.5543
6 Tb 0.4307 0.7500 0.0543
7 Tb 0.5693 0.2500 0.9457
8 Tb 0.9307 0.7500 0.4457
9 Ce 0.0497 0.7500 0.9434
10 Ce 0.4503 0.2500 0.4434
11 Ce 0.5497 0.7500 0.5566
12 Ce 0.9503 0.2500 0.0566


An optimized crystal structure of Ac14TbCe, computed with GGA-PBE.

## Properties
The calculation puts the total energy at -67.3 eV per cell. Its space-group type is Amm2 (38). As for the formation energy: 0.050 eV per atom.

Unit cell a=11.2093 b=7.8762 c=7.8762 alpha=89.99 beta=90.00 gamma=90.00
Fractional coordinates of all 16 atoms:
1 Ac 0.0000 0.0000 0.0000
2 Ac 0.0000 0.0012 0.4988
3 Ac 0.0000 0.4988 0.0012
4 Ac 0.0000 0.4998 0.4998
5 Ac 0.2557 0.7504 0.7504
6 Ac 0.2574 0.2491 0.7507
7 Ac 0.2574 0.7507 0.2491
8 Ac 0.2588 0.2492 0.2492
9 Ac 0.5000 0.5016 0.9984
10 Ac 0.5000 0.9984 0.5016
11 Ac 0.7412 0.2492 0.2492
12 Ac 0.7426 0.2491 0.7507
13 Ac 0.7426 0.7507 0.2491
14 Ac 0.7443 0.7504 0.7504
15 Tb 0.5000 0.5001 0.5001
16 Ce 0.5000 0.9996 0.9996


An optimized crystal structure of AcTbCe4, computed with GGA-PBE.

## Properties
The calculation puts the total energy at -31.3 eV per cell. Its space-group type is F-43m (216). As for the formation energy: 0.196 eV per atom.

Unit cell a=6.4305 b=6.4305 c=6.4305 alpha=60.00 beta=60.00 gamma=60.00
Fractional coordinates of all 6 atoms:
1 Ac 0.0000 0.0000 0.0000
2 Tb 0.7500 0.7500 0.7500
3 Ce 0.3809 0.3809 0.3809
4 Ce 0.3809 0.3809 0.8574
5 Ce 0.3809 0.8574 0.3809
6 Ce 0.8574 0.3809 0.3809


An optimized crystal structure of AcTbCe, computed with GGA-PBE.

## Properties
As for the energy above the lowest structure with this stoichiometry: 0 meV/atom. The calculation puts the total energy at -28.6 eV per cell. Its space-group type is I4mm (107). As for the formation energy: 0.122 eV per atom.

Unit cell a=3.7007 b=3.7007 c=15.3701 alpha=90.00 beta=90.00 gamma=90.00
Fractional coordinates of all 6 atoms:
1 Ac 0.0000 0.0000 0.0000
2 Ac 0.5000 0.5000 0.5000
3 Tb 0.0000 0.0000 0.6806
4 Tb 0.5000 0.5000 0.1806
5 Ce 0.0000 0.0000 0.3322
6 Ce 0.5000 0.5000 0.8322